No. 1
The following is a DFT calculation (PBE) of crystalline RePb2Cl at its relaxed geometry.

Structure (CIF):
```
data_RePb2Cl
_cell_length_a 6.5113
_cell_length_b 6.5113
_cell_length_c 13.2069
_cell_angle_alpha 90.00
_cell_angle_beta 90.00
_cell_angle_gamma 90.00
_space_group_name_H-M_alt 'I -4 2 d'
_space_group_IT_number 122
_space_group_name_Hall 'I -4 2bw'
loop_
_atom_site_label
_atom_site_type_symbol
_atom_site_fract_x
_atom_site_fract_y
_atom_site_fract_z
Re1 Re 0.0000 0.0000 0.0000
Pb1 Pb 0.1916 0.2500 0.1250
Cl1 Cl 0.0000 0.0000 0.5000
```

Calculated values
E_form (uncorrected) = 3.36 eV/f.u.
E above lowest polymorph = 393 meV per atom
Total moment = 0.00 μB/f.u.
V = 560 Å³ per cell

***

No. 2
The following is a DFT calculation (PBE) of crystalline LaSm2SnN4 at its relaxed geometry.

Structure (CIF):
```
data_LaSm2SnN4
_cell_length_a 3.6607
_cell_length_b 12.0604
_cell_length_c 12.2966
_cell_angle_alpha 90.00
_cell_angle_beta 90.00
_cell_angle_gamma 90.00
_space_group_name_H-M_alt 'C m c m'
_space_group_IT_number 63
_space_group_name_Hall '-C 2c 2'
loop_
_atom_site_label
_atom_site_type_symbol
_atom_site_fract_x
_atom_site_fract_y
_atom_site_fract_z
La1 La 0.0000 0.1095 0.2500
Sm1 Sm 0.0000 0.3711 0.0374
Sn1 Sn 0.0000 0.1534 0.7500
N1 N 0.0000 0.0000 0.0000
N2 N 0.0000 0.2711 0.6245
N3 N 0.0000 0.4405 0.2500
```

Calculated values
E_form (uncorrected) = -6.75 eV/f.u.
Total moment = 0.00 μB/f.u.
V = 543 Å³ per cell

***

No. 3
The following is a DFT calculation (PBE) of crystalline NaTmCuHg at its relaxed geometry.

Structure (CIF):
```
data_NaTmCuHg
_cell_length_a 7.0399
_cell_length_b 7.0399
_cell_length_c 7.0399
_cell_angle_alpha 90.00
_cell_angle_beta 90.00
_cell_angle_gamma 90.00
_space_group_name_H-M_alt 'F -4 3 m'
_space_group_IT_number 216
_space_group_name_Hall 'F -4 2 3'
loop_
_atom_site_label
_atom_site_type_symbol
_atom_site_fract_x
_atom_site_fract_y
_atom_site_fract_z
Na1 Na 0.0000 0.0000 0.0000
Tm1 Tm 0.0000 0.0000 0.5000
Cu1 Cu 0.2500 0.2500 0.7500
Hg1 Hg 0.2500 0.2500 0.2500
```

Calculated values
Formation enthalpy at 0 K = -0.0685 eV/atom
Total moment = 0.00 μB/f.u.
V = 349 Å³ per cell

***

No. 4
The following is a DFT calculation (PBE) of crystalline Zn2GaBi at its relaxed geometry.

Structure (CIF):
```
data_Zn2GaBi
_cell_length_a 7.6207
_cell_length_b 7.6207
_cell_length_c 6.1038
_cell_angle_alpha 90.00
_cell_angle_beta 90.00
_cell_angle_gamma 90.00
_space_group_name_H-M_alt 'I -4 2 d'
_space_group_IT_number 122
_space_group_name_Hall 'I -4 2bw'
loop_
_atom_site_label
_atom_site_type_symbol
_atom_site_fract_x
_atom_site_fract_y
_atom_site_fract_z
Zn1 Zn 0.2213 0.2500 0.1250
Ga1 Ga 0.0000 0.0000 0.0000
Bi1 Bi 0.0000 0.0000 0.5000
```

Calculated values
Formation enthalpy at 0 K = 0.1965 eV/atom
E above lowest polymorph = 72 meV per atom
Total moment = 0.00 μB/f.u.
V = 354 Å³ per cell